## Na6Tl5In (PBE)

Data for a relaxed structure of Na6Tl5In.

Cell lengths 4.576, 9.815, 9.292 Å; angles 122.04, 103.94, 90.07 degrees
Positions (direct):
Tl (0.660, 0.159, 0.319)
Tl (0.340, 0.841, 0.681)
Tl (0.000, 0.500, 0.000)
Na (0.500, 0.252, 0.000)
Na (0.833, 0.083, 0.666)
Tl (0.668, 0.668, 0.335)
Na (0.167, 0.917, 0.334)
Na (0.500, 0.748, 0.000)
Na (0.167, 0.417, 0.334)
Na (0.833, 0.583, 0.666)
Tl (0.332, 0.332, 0.665)
In (0.000, 0.000, 0.000)

DFT total energy (eV per atom): -1.971
Formation energy from the elements (kJ per mole of atoms): -9.42

---

## Na6Tl12In (PBE)

Data for a relaxed structure of Na6Tl12In.

Cell lengths 8.249, 8.249, 8.249 Å; angles 91.66, 91.66, 91.66 degrees
Positions (direct):
Tl (0.792, 0.533, 0.452)
Tl (0.548, 0.208, 0.467)
Na (0.722, 0.884, 0.265)
Tl (0.208, 0.467, 0.548)
Tl (0.467, 0.548, 0.208)
In (0.000, 0.000, 0.000)
Tl (0.148, 0.371, 0.039)
Na (0.884, 0.265, 0.722)
Na (0.265, 0.722, 0.884)
Tl (0.629, 0.961, 0.852)
Na (0.278, 0.116, 0.735)
Na (0.116, 0.735, 0.278)
Tl (0.961, 0.852, 0.629)
Tl (0.371, 0.039, 0.148)
Tl (0.039, 0.148, 0.371)
Na (0.735, 0.278, 0.116)
Tl (0.852, 0.629, 0.961)
Tl (0.533, 0.452, 0.792)
Tl (0.452, 0.792, 0.533)

DFT total energy (eV per atom): -2.121
Formation energy from the elements (kJ per mole of atoms): -6.35
Polymorph energy (0 for the lowest one) (meV per atom): 14

---

## Na6Tl3In (PBE)

Data for a relaxed structure of Na6Tl3In.

Cell lengths 5.535, 9.214, 11.951 Å; angles 108.78, 90.00, 90.00 degrees
Positions (direct):
Tl (0.750, 0.811, 0.357)
Na (0.750, 0.213, 0.477)
Na (0.250, 0.404, 0.934)
In (0.250, 0.412, 0.441)
Na (0.750, 0.426, 0.275)
Tl (0.250, 0.804, 0.041)
Na (0.750, 0.596, 0.066)
Na (0.250, 0.220, 0.141)
Na (0.750, 0.993, 0.660)
Tl (0.750, 0.385, 0.767)
Tl (0.750, 0.196, 0.959)
Na (0.250, 0.787, 0.523)
Na (0.250, 0.007, 0.340)
Tl (0.250, 0.615, 0.233)
Na (0.750, 0.996, 0.152)
Na (0.250, 0.004, 0.848)
Na (0.250, 0.574, 0.725)
In (0.750, 0.588, 0.559)
Na (0.750, 0.780, 0.859)
Tl (0.250, 0.189, 0.643)

DFT total energy (eV per atom): -1.873
Formation energy from the elements (kJ per mole of atoms): -9.48
Polymorph energy (0 for the lowest one) (meV per atom): 0

---

## Na4Tl2In5 (PBE)

Data for a relaxed structure of Na4Tl2In5.

Cell lengths 7.015, 6.272, 8.383 Å; angles 68.03, 70.36, 90.00 degrees
Positions (direct):
In (0.112, 0.673, 0.132)
Na (0.489, 0.611, 0.778)
Tl (0.698, 0.835, 0.330)
In (0.112, 0.195, 0.132)
Tl (0.302, 0.165, 0.670)
In (0.888, 0.805, 0.868)
Na (0.181, 0.761, 0.477)
In (0.500, 0.000, 0.000)
Na (0.819, 0.239, 0.523)
In (0.888, 0.327, 0.868)
Na (0.511, 0.389, 0.222)

DFT total energy (eV per atom): -2.248
Formation energy from the elements (kJ per mole of atoms): -9.01
Polymorph energy (0 for the lowest one) (meV per atom): 0

---

## NaTl6In8 (PBE)

Data for a relaxed structure of NaTl6In8.

Cell lengths 13.571, 13.571, 13.571 Å; angles 26.17, 26.17, 26.17 degrees
Positions (direct):
Tl (0.401, 0.734, 0.067)
In (0.667, 0.667, 0.667)
In (0.479, 0.132, 0.794)
In (0.206, 0.521, 0.868)
Tl (0.599, 0.266, 0.933)
Tl (0.933, 0.599, 0.266)
In (0.868, 0.206, 0.521)
Tl (0.266, 0.933, 0.599)
In (0.333, 0.333, 0.333)
In (0.521, 0.868, 0.206)
Na (0.000, 0.000, 0.000)
Tl (0.734, 0.067, 0.401)
In (0.794, 0.479, 0.132)
Tl (0.067, 0.401, 0.734)
In (0.132, 0.794, 0.479)

DFT total energy (eV per atom): -2.497
Formation energy from the elements (kJ per mole of atoms): -0.23
Polymorph energy (0 for the lowest one) (meV per atom): 0

---

## Na12Tl2In (PBE)

Data for a relaxed structure of Na12Tl2In.

Cell lengths 6.686, 6.686, 24.516 Å; angles 90.00, 90.00, 90.00 degrees
Positions (direct):
Na (0.680, 0.180, 0.434)
In (0.500, 0.000, 0.000)
Na (0.000, 0.000, 0.678)
Tl (0.500, 0.000, 0.791)
Na (0.500, 0.500, 0.322)
Na (0.680, 0.820, 0.566)
Na (0.500, 0.500, 0.804)
Na (0.250, 0.250, 0.090)
Na (0.820, 0.320, 0.566)
Na (0.750, 0.750, 0.910)
Na (0.000, 0.000, 0.322)
Na (0.180, 0.680, 0.566)
Na (0.500, 0.500, 0.678)
Tl (0.000, 0.500, 0.209)
Na (0.250, 0.750, 0.910)
Na (0.320, 0.820, 0.434)
Na (0.500, 0.500, 0.196)
Na (0.820, 0.680, 0.434)
Na (0.750, 0.250, 0.910)
Na (0.180, 0.320, 0.434)
Na (0.750, 0.750, 0.090)
Na (0.000, 0.000, 0.804)
Na (0.320, 0.180, 0.566)
Na (0.000, 0.000, 0.196)
In (0.000, 0.500, 0.000)
Na (0.250, 0.250, 0.910)
Tl (0.500, 0.000, 0.209)
Tl (0.000, 0.500, 0.791)
Na (0.250, 0.750, 0.090)
Na (0.750, 0.250, 0.090)

DFT total energy (eV per atom): -1.480
Formation energy from the elements (kJ per mole of atoms): 7.06

---

## Na2Tl12In5 (PBE)

Data for a relaxed structure of Na2Tl12In5.

Cell lengths 5.940, 10.287, 10.287 Å; angles 66.44, 78.75, 78.75 degrees
Positions (direct):
Tl (0.202, 0.062, 0.543)
In (0.419, 0.210, 0.210)
In (0.158, 0.686, 0.686)
Tl (0.966, 0.107, 0.107)
In (0.500, 0.000, 0.000)
Tl (0.386, 0.354, 0.849)
Tl (0.798, 0.938, 0.457)
Tl (0.614, 0.151, 0.646)
Tl (0.386, 0.849, 0.354)
Na (0.000, 0.753, 0.247)
In (0.581, 0.790, 0.790)
Tl (0.798, 0.457, 0.938)
Tl (0.614, 0.646, 0.151)
Tl (0.034, 0.893, 0.893)
Na (0.000, 0.247, 0.753)
In (0.842, 0.314, 0.314)
Tl (0.716, 0.563, 0.563)
Tl (0.202, 0.543, 0.062)
Tl (0.284, 0.437, 0.437)

DFT total energy (eV per atom): -2.354
Formation energy from the elements (kJ per mole of atoms): 0.03
Polymorph energy (0 for the lowest one) (meV per atom): 0

---

## Na2TlIn3 (PBE)

Data for a relaxed structure of Na2TlIn3.

Cell lengths 3.488, 5.250, 8.954 Å; angles 90.00, 90.00, 90.00 degrees
Positions (direct):
In (0.500, 0.500, 0.673)
Na (0.000, 0.500, 0.001)
Na (0.000, 0.000, 0.499)
In (0.500, 0.000, 0.831)
Tl (0.500, 0.500, 0.333)
In (0.500, 0.000, 0.163)

DFT total energy (eV per atom): -2.303
Formation energy from the elements (kJ per mole of atoms): -9.66